[1]
The following is a DFT calculation (PBE-GGA) of crystalline NpNi2Ag2S6 at its relaxed geometry.

abc: 6.016 6.016 6.614
angles: 96.75 96.75 119.31
Fractional positions:
Np 0.000 0.000 0.500
Ni 0.333 0.667 0.500
Ni 0.667 0.333 0.500
Ag 0.859 0.141 0.000
Ag 0.141 0.859 0.000
S 0.680 0.680 0.709
S 0.043 0.414 0.717
S 0.320 0.320 0.291
S 0.414 0.043 0.717
S 0.957 0.586 0.283
S 0.586 0.957 0.283

Results
The value obtained for the density of states at the Fermi level is 0.82 states/eV per atom. The calculation puts the calculated volume at 203.04 Å³/cell. The raw formation energy is -45.1 kJ per mole of atoms. The space-group type is C2/m, No. 12. The value obtained for the calculated total energy is -5.465 eV/atom. Its spin magnetization is 0.175 μB/atom.

=====

[2]
The following is a DFT calculation (PBE-GGA) of crystalline PrZr2Zn6 at its relaxed geometry.

abc: 3.392 7.873 7.873
angles: 59.08 77.56 77.56
Fractional positions:
Pr 0.000 0.000 0.000
Zr 0.855 0.645 0.645
Zr 0.145 0.355 0.355
Zn 0.675 0.012 0.637
Zn 0.325 0.988 0.363
Zn 0.325 0.363 0.988
Zn 0.500 0.665 0.335
Zn 0.500 0.335 0.665
Zn 0.675 0.637 0.012

Results
The value obtained for the density of states at the Fermi level is 0.61 states/eV per atom. The calculation puts the calculated volume at 174.77 Å³/cell. The formation energy comes out at -188 meV per atom. The space-group type is Immm, No. 71. The value obtained for the calculated total energy is -3.468 eV/atom. Its spin magnetization is 0.000 μB/atom.

=====

[3]
The following is a DFT calculation (PBE-GGA) of crystalline NbSnSb2I at its relaxed geometry.

abc: 5.373 5.373 5.712
angles: 90.00 90.00 90.00
Fractional positions:
I 0.000 0.000 0.500
Sb 0.000 0.500 0.000
Sb 0.500 0.000 0.000
Nb 0.000 0.000 0.000
Sn 0.500 0.500 0.500

Results
The value obtained for the density of states at the Fermi level is 0.93 states/eV per atom. The calculation puts the calculated volume at 164.89 Å³/cell. The raw formation energy is 40.6 kJ per mole of atoms. The space-group type is P4/mmm, No. 123. The value obtained for the calculated total energy is -4.353 eV/atom. Its spin magnetization is 0.000 μB/atom. The value obtained for the energy relative to the lowest polymorph listed for this composition is 0.00 eV/f.u.